*i*
# PBE-GGA Pu2Ge2Pd, relaxed
data_Pu2Ge2Pd
_chemical_formula_sum 'Pu4 Ge4 Pd2'
_symmetry_space_group_name_H-M 'P 1'
_symmetry_Int_Tables_number 1
_cell_length_a 5.7229
_cell_length_b 5.7229
_cell_length_c 10.3234
_cell_angle_alpha 115.15
_cell_angle_beta 115.15
_cell_angle_gamma 45.58
loop_
_symmetry_equiv_pos_as_xyz
'x,y,z'
loop_
_atom_site_label
_atom_site_fract_x
_atom_site_fract_y
_atom_site_fract_z
Pu1 0.0019 0.0019 0.3236
Pu2 0.1839 0.1839 0.1028
Pu3 0.8161 0.8161 0.8972
Pu4 0.9981 0.9981 0.6764
Ge1 0.3609 0.3609 0.4371
Ge2 0.4824 0.4824 0.1176
Ge3 0.5176 0.5176 0.8824
Ge4 0.6391 0.6391 0.5629
Pd1 0.2742 0.2742 0.6460
Pd2 0.7258 0.7258 0.3540
# volume	21.43	Å³ per atom
# symmetry	No. 12
# magnetic moment	21.9	μB/cell
# N(E_F)	36.22	states/eV per cell



*ii*
# PBE-GGA Pu2Ge2Pd, relaxed
data_Pu2Ge2Pd
_chemical_formula_sum 'Pu4 Ge4 Pd2'
_symmetry_space_group_name_H-M 'P 1'
_symmetry_Int_Tables_number 1
_cell_length_a 7.4189
_cell_length_b 7.4189
_cell_length_c 7.4189
_cell_angle_alpha 124.97
_cell_angle_beta 73.43
_cell_angle_gamma 135.41
loop_
_symmetry_equiv_pos_as_xyz
'x,y,z'
loop_
_atom_site_label
_atom_site_fract_x
_atom_site_fract_y
_atom_site_fract_z
Pu1 0.1182 0.1454 0.2636
Pu2 0.3818 0.6454 0.0272
Pu3 0.6182 0.3546 0.9728
Pu4 0.8818 0.8546 0.7364
Ge1 0.1367 0.7023 0.8390
Ge2 0.3633 0.2023 0.5657
Ge3 0.6367 0.7977 0.4343
Ge4 0.8633 0.2977 0.1610
Pd1 0.2500 0.7500 0.5000
Pd2 0.7500 0.2500 0.5000
# volume	22.95	Å³ per atom
# symmetry	No. 72
# magnetic moment	22.2	μB/cell
# N(E_F)	34.56	states/eV per cell



Ordering by calculated energy gives the sequence *i*, *ii*, with the first entry being the most stable.



*i*
# PBE-GGA Pu4GePd3, relaxed
data_Pu4GePd3
_chemical_formula_sum 'Pu4 Ge1 Pd3'
_symmetry_space_group_name_H-M 'P 1'
_symmetry_Int_Tables_number 1
_cell_length_a 6.1211
_cell_length_b 6.1211
_cell_length_c 6.1211
_cell_angle_alpha 109.47
_cell_angle_beta 109.47
_cell_angle_gamma 109.47
loop_
_symmetry_equiv_pos_as_xyz
'x,y,z'
loop_
_atom_site_label
_atom_site_fract_x
_atom_site_fract_y
_atom_site_fract_z
Pu1 0.0000 0.0000 0.5000
Pu2 0.0000 0.5000 0.0000
Pu3 0.5000 0.0000 0.0000
Pu4 0.5000 0.5000 0.5000
Ge1 0.0000 0.0000 0.0000
Pd1 0.0000 0.5000 0.5000
Pd2 0.5000 0.0000 0.5000
Pd3 0.5000 0.5000 0.0000
# volume	22.07	Å³ per atom
# symmetry	No. 229
# magnetic moment	21.9	μB/cell
# N(E_F)	35.10	states/eV per cell



*ii*
# PBE-GGA Pu4GePd3, relaxed
data_Pu4GePd3
_chemical_formula_sum 'Pu4 Ge1 Pd3'
_symmetry_space_group_name_H-M 'P 1'
_symmetry_Int_Tables_number 1
_cell_length_a 3.6607
_cell_length_b 5.0490
_cell_length_c 8.3258
_cell_angle_alpha 90.00
_cell_angle_beta 90.00
_cell_angle_gamma 90.00
loop_
_symmetry_equiv_pos_as_xyz
'x,y,z'
loop_
_atom_site_label
_atom_site_fract_x
_atom_site_fract_y
_atom_site_fract_z
Pu1 0.0000 0.0000 0.0000
Pu2 0.0000 0.5000 0.0697
Pu3 0.5000 0.0000 0.1963
Pu4 0.5000 0.5000 0.8745
Ge1 0.5000 0.5000 0.3936
Pd1 0.0000 0.0000 0.4514
Pd2 0.0000 0.5000 0.5952
Pd3 0.5000 0.0000 0.7077
# volume	19.24	Å³ per atom
# symmetry	No. 25
# magnetic moment	1.9	μB/cell
# N(E_F)	12.56	states/eV per cell



Ordering by calculated energy gives the sequence *i*, *ii*, with the first entry being the most stable.



*i*
# PBE-GGA Pu3Ge2Pd, relaxed
data_Pu3Ge2Pd
_chemical_formula_sum 'Pu12 Ge8 Pd4'
_symmetry_space_group_name_H-M 'P 1'
_symmetry_Int_Tables_number 1
_cell_length_a 12.1334
_cell_length_b 4.4250
_cell_length_c 10.0801
_cell_angle_alpha 90.00
_cell_angle_beta 90.00
_cell_angle_gamma 90.00
loop_
_symmetry_equiv_pos_as_xyz
'x,y,z'
loop_
_atom_site_label
_atom_site_fract_x
_atom_site_fract_y
_atom_site_fract_z
Pu1 0.0468 0.2500 0.0874
Pu2 0.1303 0.7500 0.5654
Pu3 0.2345 0.2500 0.7772
Pu4 0.2655 0.7500 0.2772
Pu5 0.3697 0.2500 0.0654
Pu6 0.4532 0.7500 0.5874
Pu7 0.5468 0.2500 0.4126
Pu8 0.6303 0.7500 0.9346
Pu9 0.7345 0.2500 0.7228
Pu10 0.7655 0.7500 0.2228
Pu11 0.8697 0.2500 0.4346
Pu12 0.9532 0.7500 0.9126
Ge1 0.0047 0.7500 0.2869
Ge2 0.1980 0.7500 0.9845
Ge3 0.3020 0.2500 0.4845
Ge4 0.4953 0.2500 0.7869
Ge5 0.5047 0.7500 0.2131
Ge6 0.6980 0.7500 0.5155
Ge7 0.8020 0.2500 0.0155
Ge8 0.9953 0.2500 0.7131
Pd1 0.1123 0.2500 0.3618
Pd2 0.3877 0.7500 0.8618
Pd3 0.6123 0.2500 0.1382
Pd4 0.8877 0.7500 0.6382
# volume	22.55	Å³ per atom
# symmetry	No. 62
# magnetic moment	22.2	μB/cell
# N(E_F)	91.08	states/eV per cell



*ii*
# PBE-GGA Pu3Ge2Pd, relaxed
data_Pu3Ge2Pd
_chemical_formula_sum 'Pu6 Ge4 Pd2'
_symmetry_space_group_name_H-M 'P 1'
_symmetry_Int_Tables_number 1
_cell_length_a 7.8108
_cell_length_b 7.8108
_cell_length_c 11.2524
_cell_angle_alpha 127.97
_cell_angle_beta 127.97
_cell_angle_gamma 26.35
loop_
_symmetry_equiv_pos_as_xyz
'x,y,z'
loop_
_atom_site_label
_atom_site_fract_x
_atom_site_fract_y
_atom_site_fract_z
Pu1 0.0118 0.0118 0.1160
Pu2 0.2491 0.2491 0.9310
Pu3 0.3464 0.3464 0.7530
Pu4 0.6536 0.6536 0.2470
Pu5 0.7509 0.7509 0.0690
Pu6 0.9882 0.9882 0.8840
Ge1 0.1244 0.1244 0.4422
Ge2 0.4539 0.4539 0.2636
Ge3 0.5461 0.5461 0.7364
Ge4 0.8756 0.8756 0.5578
Pd1 0.3676 0.3676 0.3914
Pd2 0.6324 0.6324 0.6086
# volume	19.68	Å³ per atom
# symmetry	No. 12
# magnetic moment	5.5	μB/cell
# N(E_F)	20.40	states/eV per cell



Ordering by calculated energy gives the sequence *i*, *ii*, with the first entry being the most stable.